GGA-PBEsol KNaSO4, optimized geometry; crystal system = trigonal; size of the total moment = 0.00 μB/atom; symmetry = P3m1 (156); ΔE_f (raw) = -1.87 eV/atom; energy above the most stable polymorph in this dataset = 0.00 kcal/mol of atoms; DOS(E_F) = 0.0 states/eV/f.u.
1.0
5.585 0.000 0.000
-2.792 4.837 0.000
0.000 0.000 7.178
K Na S O
2 2 2 8
direct
0.000 0.000 0.000
0.333 0.667 0.332
0.333 0.667 0.833
0.667 0.333 0.629
0.000 0.000 0.560
0.667 0.333 0.106
0.000 0.000 0.356
0.145 0.289 0.633
0.145 0.855 0.633
0.522 0.044 0.034
0.522 0.478 0.034
0.667 0.333 0.311
0.711 0.855 0.633
0.956 0.478 0.034

---

GGA-PBEsol KNaSO4, optimized geometry; crystal system = trigonal; size of the total moment = 0.00 μB/atom; symmetry = P-3m1 (164); ΔE_f (raw) = -1.85 eV/atom; energy above the most stable polymorph in this dataset = 0.39 kcal/mol of atoms; DOS(E_F) = 0.0 states/eV/f.u.
1.0
5.588 0.000 0.000
-2.794 4.839 0.000
0.000 0.000 7.163
K Na S O
2 2 2 8
direct
0.333 0.667 0.165
0.667 0.333 0.835
0.000 0.000 0.000
0.000 0.000 0.500
0.333 0.667 0.718
0.667 0.333 0.282
0.188 0.377 0.792
0.188 0.812 0.792
0.333 0.667 0.515
0.377 0.188 0.208
0.623 0.812 0.792
0.667 0.333 0.485
0.812 0.188 0.208
0.812 0.623 0.208

---

GGA-PBEsol K2NaSb3O9, optimized geometry; crystal system = cubic; size of the total moment = 0.00 μB/atom; symmetry = Pn-3 (201); ΔE_f (raw) = -1.66 eV/atom; DOS(E_F) = 0.0 states/eV/f.u.
1.0
9.521 0.000 0.000
0.000 9.521 0.000
0.000 0.000 9.521
K Na Sb O
8 4 12 36
direct
0.101 0.101 0.101
0.101 0.399 0.399
0.399 0.101 0.399
0.399 0.399 0.101
0.601 0.601 0.899
0.601 0.899 0.601
0.899 0.601 0.601
0.899 0.899 0.899
0.000 0.000 0.500
0.000 0.500 0.000
0.500 0.000 0.000
0.500 0.500 0.500
0.091 0.750 0.250
0.250 0.091 0.750
0.250 0.409 0.750
0.250 0.750 0.591
0.250 0.750 0.909
0.409 0.750 0.250
0.591 0.250 0.750
0.750 0.250 0.091
0.750 0.250 0.409
0.750 0.591 0.250
0.750 0.909 0.250
0.909 0.250 0.750
0.038 0.086 0.748
0.038 0.414 0.752
0.086 0.748 0.038
0.086 0.752 0.462
0.110 0.750 0.750
0.248 0.538 0.914
0.248 0.962 0.586
0.250 0.250 0.610
0.250 0.250 0.890
0.250 0.610 0.250
0.250 0.890 0.250
0.252 0.538 0.586
0.252 0.962 0.914
0.390 0.750 0.750
0.414 0.748 0.462
0.414 0.752 0.038
0.462 0.086 0.752
0.462 0.414 0.748
0.538 0.586 0.252
0.538 0.914 0.248
0.586 0.248 0.962
0.586 0.252 0.538
0.610 0.250 0.250
0.748 0.038 0.086
0.748 0.462 0.414
0.750 0.110 0.750
0.750 0.390 0.750
0.750 0.750 0.110
0.750 0.750 0.390
0.752 0.038 0.414
0.752 0.462 0.086
0.890 0.250 0.250
0.914 0.248 0.538
0.914 0.252 0.962
0.962 0.586 0.248
0.962 0.914 0.252

---

GGA-PBEsol K3NaSe2O8, optimized geometry; crystal system = monoclinic; size of the total moment = 0.00 μB/atom; symmetry = C2/c (15); ΔE_f (raw) = -1.40 eV/atom; energy above the most stable polymorph in this dataset = 0.00 kcal/mol of atoms; DOS(E_F) = 0.0 states/eV/f.u.
1.0
5.062 -2.936 0.000
5.062 2.936 0.000
-0.061 0.000 15.065
K Na Se O
6 2 4 16
direct
0.056 0.944 0.750
0.303 0.354 0.090
0.354 0.303 0.590
0.646 0.697 0.410
0.697 0.646 0.910
0.944 0.056 0.250
0.000 0.000 0.000
0.000 0.000 0.500
0.318 0.355 0.365
0.355 0.318 0.865
0.645 0.682 0.135
0.682 0.645 0.635
0.141 0.229 0.407
0.157 0.680 0.381
0.225 0.603 0.920
0.229 0.141 0.907
0.274 0.382 0.759
0.320 0.843 0.119
0.382 0.274 0.259
0.397 0.775 0.580
0.603 0.225 0.420
0.618 0.726 0.741
0.680 0.157 0.881
0.726 0.618 0.241
0.771 0.859 0.093
0.775 0.397 0.080
0.843 0.320 0.619
0.859 0.771 0.593

---

GGA-PBEsol K3NaSe2O8, optimized geometry; crystal system = trigonal; size of the total moment = 0.00 μB/atom; symmetry = P-3m1 (164); ΔE_f (raw) = -1.40 eV/atom; energy above the most stable polymorph in this dataset = 0.07 kcal/mol of atoms; DOS(E_F) = 0.0 states/eV/f.u.
1.0
5.856 0.000 0.000
-2.928 5.071 0.000
0.000 0.000 7.505
K Na Se O
3 1 2 8
direct
0.000 0.000 0.000
0.333 0.667 0.336
0.667 0.333 0.664
0.000 0.000 0.500
0.333 0.667 0.778
0.667 0.333 0.222
0.180 0.359 0.698
0.180 0.820 0.698
0.333 0.667 0.998
0.359 0.180 0.302
0.641 0.820 0.698
0.667 0.333 0.002
0.820 0.180 0.302
0.820 0.641 0.302

---

GGA-PBEsol K4Na2Si6O15, optimized geometry; crystal system = monoclinic; size of the total moment = 0.00 μB/atom; symmetry = C2/c (15); ΔE_f (raw) = -2.54 eV/atom; DOS(E_F) = 0.0 states/eV/f.u.
1.0
9.903 -3.678 0.000
9.903 3.678 0.000
-5.876 0.000 11.211
K Na Si O
8 4 12 30
direct
0.062 0.809 0.831
0.070 0.430 0.835
0.191 0.938 0.669
0.430 0.070 0.335
0.570 0.930 0.665
0.809 0.062 0.331
0.930 0.570 0.165
0.938 0.191 0.169
0.329 0.507 0.409
0.493 0.671 0.091
0.507 0.329 0.909
0.671 0.493 0.591
0.044 0.258 0.501
0.179 0.687 0.113
0.258 0.044 0.001
0.278 0.373 0.615
0.313 0.821 0.387
0.373 0.278 0.115
0.627 0.722 0.885
0.687 0.179 0.613
0.722 0.627 0.385
0.742 0.956 0.999
0.821 0.313 0.887
0.956 0.742 0.499
0.030 0.257 0.620
0.062 0.111 0.895
0.111 0.062 0.395
0.177 0.559 0.565
0.195 0.273 0.514
0.197 0.511 0.098
0.256 0.424 0.747
0.257 0.030 0.120
0.273 0.195 0.014
0.274 0.643 0.018
0.277 0.723 0.250
0.357 0.726 0.482
0.424 0.256 0.247
0.441 0.823 0.935
0.489 0.803 0.402
0.511 0.197 0.598
0.559 0.177 0.065
0.576 0.744 0.753
0.643 0.274 0.518
0.723 0.277 0.750
0.726 0.357 0.982
0.727 0.805 0.986
0.743 0.970 0.880
0.744 0.576 0.253
0.803 0.489 0.902
0.805 0.727 0.486
0.823 0.441 0.435
0.889 0.938 0.605
0.938 0.889 0.105
0.970 0.743 0.380

---

GGA-PBEsol KNaTaO2, optimized geometry; crystal system = tetragonal; size of the total moment = 0.53 μB/atom; symmetry = P4/mmm (123); ΔE_f (raw) = 1.11 eV/atom; DOS(E_F) = 3.6 states/eV/f.u.
1.0
4.617 0.000 0.000
0.000 4.617 0.000
0.000 0.000 4.195
K Na Ta O
1 1 1 2
direct
0.000 0.000 0.000
0.000 0.000 0.500
0.500 0.500 0.500
0.000 0.500 0.000
0.500 0.000 0.000

---

GGA-PBEsol K5Na3Ta8O24, optimized geometry; crystal system = tetragonal; size of the total moment = 0.00 μB/atom; symmetry = P4/mmm (123); ΔE_f (raw) = -2.68 eV/atom; DOS(E_F) = 0.0 states/eV/f.u.
1.0
7.949 0.000 0.000
0.000 7.949 0.000
0.000 0.000 7.947
K Na Ta O
5 3 8 24
direct
0.000 0.000 0.000
0.000 0.000 0.500
0.000 0.500 0.000
0.500 0.000 0.000
0.500 0.500 0.000
0.000 0.500 0.500
0.500 0.000 0.500
0.500 0.500 0.500
0.251 0.251 0.252
0.251 0.251 0.748
0.251 0.749 0.252
0.251 0.749 0.748
0.749 0.251 0.252
0.749 0.251 0.748
0.749 0.749 0.252
0.749 0.749 0.748
0.000 0.252 0.253
0.000 0.252 0.747
0.000 0.748 0.253
0.000 0.748 0.747
0.251 0.251 0.000
0.251 0.500 0.254
0.251 0.500 0.746
0.251 0.749 0.000
0.252 0.000 0.253
0.252 0.000 0.747
0.252 0.252 0.500
0.252 0.748 0.500
0.500 0.251 0.254
0.500 0.251 0.746
0.500 0.749 0.254
0.500 0.749 0.746
0.748 0.000 0.253
0.748 0.000 0.747
0.748 0.252 0.500
0.748 0.748 0.500
0.749 0.251 0.000
0.749 0.500 0.254
0.749 0.500 0.746
0.749 0.749 0.000